# TlCoIr2, optimized geometry, DFT PBE
# N(E_F): 5.470 states/eV/f.u.
# ΔH_f (0 K): 0.57 eV/atom
# Uncorrected energy: -6.23 eV/atom
# Energy above the lowest structure with this stoichiometry: 155 meV/atom
data_TlCoIr2
_space_group_name_H-M_alt 'P m m m'
_space_group_IT_number 47
_cell_length_a 2.9002
_cell_length_b 4.6339
_cell_length_c 4.7047
_cell_angle_alpha 90.00
_cell_angle_beta 90.00
_cell_angle_gamma 90.00
loop_
_space_group_symop_operation_xyz
'x,y,z'
'-x,-y,-z'
'-x,-y,z'
'x,y,-z'
'x,-y,-z'
'-x,y,z'
'-x,y,-z'
'x,-y,z'
loop_
_atom_site_label
_atom_site_type_symbol
_atom_site_fract_x
_atom_site_fract_y
_atom_site_fract_z
Tl1 Tl 0.0000 0.0000 0.0000
Co1 Co 0.5000 0.0000 0.5000
Ir1 Ir 0.0000 0.5000 0.5000
Ir2 Ir 0.5000 0.5000 0.0000

# TlCo2Ir, optimized geometry, DFT PBE
# N(E_F): 6.651 states/eV/f.u.
# ΔH_f (0 K): 0.45 eV/atom
# Uncorrected energy: -5.91 eV/atom
# Energy above the lowest structure with this stoichiometry: 34 meV/atom
data_TlCo2Ir
_space_group_name_H-M_alt 'C 1 m 1'
_space_group_IT_number 8
_cell_length_a 8.9692
_cell_length_b 2.9004
_cell_length_c 4.6913
_cell_angle_alpha 90.00
_cell_angle_beta 103.65
_cell_angle_gamma 90.00
loop_
_space_group_symop_operation_xyz
'x,y,z'
'x,-y,z'
'x+1/2,y+1/2,z'
'x+1/2,-y+1/2,z'
loop_
_atom_site_label
_atom_site_type_symbol
_atom_site_fract_x
_atom_site_fract_y
_atom_site_fract_z
Tl1 Tl 0.0000 0.0000 0.0000
Co1 Co 0.2628 0.5000 0.2583
Co2 Co 0.4892 0.0000 0.4894
Ir1 Ir 0.2315 0.0000 0.6892

# TlCo2Ir, optimized geometry, DFT PBE
# N(E_F): 4.831 states/eV/f.u.
# ΔH_f (0 K): 0.42 eV/atom
# Uncorrected energy: -5.94 eV/atom
# Energy above the lowest structure with this stoichiometry: 3 meV/atom
data_TlCo2Ir
_space_group_name_H-M_alt 'P 4 m m'
_space_group_IT_number 99
_cell_length_a 2.9725
_cell_length_b 2.9725
_cell_length_c 6.7661
_cell_angle_alpha 90.00
_cell_angle_beta 90.00
_cell_angle_gamma 90.00
loop_
_space_group_symop_operation_xyz
'x,y,z'
'-y,x,z'
'-x,-y,z'
'y,-x,z'
'-x,y,z'
'y,x,z'
'x,-y,z'
'-y,-x,z'
loop_
_atom_site_label
_atom_site_type_symbol
_atom_site_fract_x
_atom_site_fract_y
_atom_site_fract_z
Tl1 Tl 0.0000 0.0000 0.0000
Co1 Co 0.0000 0.0000 0.4705
Co2 Co 0.5000 0.5000 0.2879
Ir1 Ir 0.5000 0.5000 0.6922

# TlCoIr2, optimized geometry, DFT PBE
# N(E_F): 5.890 states/eV/f.u.
# ΔH_f (0 K): 0.54 eV/atom
# Uncorrected energy: -6.26 eV/atom
# Energy above the lowest structure with this stoichiometry: 125 meV/atom
data_TlCoIr2
_space_group_name_H-M_alt 'R 3 m'
_space_group_IT_number 160
_space_group_name_Hall 'R 3 -2"'
_cell_length_a 2.8710
_cell_length_b 2.8710
_cell_length_c 26.6129
_cell_angle_alpha 90.00
_cell_angle_beta 90.00
_cell_angle_gamma 120.00
loop_
_atom_site_label
_atom_site_type_symbol
_atom_site_fract_x
_atom_site_fract_y
_atom_site_fract_z
Tl1 Tl 0.0000 0.0000 0.0000
Co1 Co 0.0000 0.0000 0.7528
Ir1 Ir 0.0000 0.0000 0.2405
Ir2 Ir 0.0000 0.0000 0.4932

# TlCo2Ir2, optimized geometry, DFT PBE
# N(E_F): 6.481 states/eV/f.u.
# ΔH_f (0 K): 0.36 eV/atom
# Uncorrected energy: -6.50 eV/atom
# Energy above the lowest structure with this stoichiometry: 0 meV/atom
data_TlCo2Ir2
_space_group_name_H-M_alt 'P 4/m b m'
_space_group_IT_number 127
_space_group_name_Hall '-P 4 2ab'
_cell_length_a 7.4052
_cell_length_b 7.4052
_cell_length_c 2.7867
_cell_angle_alpha 90.00
_cell_angle_beta 90.00
_cell_angle_gamma 90.00
loop_
_atom_site_label
_atom_site_type_symbol
_atom_site_fract_x
_atom_site_fract_y
_atom_site_fract_z
Tl1 Tl 0.0000 0.0000 0.0000
Co1 Co 0.1655 0.3345 0.5000
Ir1 Ir 0.1284 0.6284 0.0000

# TlCoIr2, optimized geometry, DFT PBE
# N(E_F): 5.955 states/eV/f.u.
# ΔH_f (0 K): 0.60 eV/atom
# Uncorrected energy: -6.19 eV/atom
# Energy above the lowest structure with this stoichiometry: 188 meV/atom
data_TlCoIr2
_space_group_name_H-M_alt 'I m m 2'
_space_group_IT_number 44
_cell_length_a 2.8813
_cell_length_b 4.6902
_cell_length_c 9.3719
_cell_angle_alpha 90.00
_cell_angle_beta 90.00
_cell_angle_gamma 90.00
loop_
_space_group_symop_operation_xyz
'x,y,z'
'-x,-y,z'
'-x,y,z'
'x,-y,z'
'x+1/2,y+1/2,z+1/2'
'-x+1/2,-y+1/2,z+1/2'
'-x+1/2,y+1/2,z+1/2'
'x+1/2,-y+1/2,z+1/2'
loop_
_atom_site_label
_atom_site_type_symbol
_atom_site_fract_x
_atom_site_fract_y
_atom_site_fract_z
Tl1 Tl 0.0000 0.0000 0.0000
Co1 Co 0.0000 0.5000 0.7549
Ir1 Ir 0.0000 0.0000 0.4788
Ir2 Ir 0.0000 0.5000 0.2286